! Cd14AgHg (GGA-PBE, relaxed); values from VASP
! - energy of formation from the pure elements (eV per atom) = 0.0012
! - energy (eV per atom) = -0.997
! - space-group type = No. 123
&SYSTEM
  ibrav = 0, nat = 16, ntyp = 3
/
ATOMIC_SPECIES
Cd 112.41 Cd.upf
Ag 107.87 Ag.upf
Hg 200.59 Hg.upf
ATOMIC_POSITIONS crystal
Cd 0.125 0.875 0.000
Cd 0.625 0.375 0.000
Cd 0.125 0.375 0.500
Cd 0.125 0.375 0.000
Cd 0.625 0.875 0.500
Cd 0.625 0.875 0.000
Cd 0.379 0.129 0.747
Cd 0.379 0.129 0.253
Cd 0.871 0.621 0.747
Cd 0.871 0.621 0.253
Cd 0.379 0.621 0.747
Cd 0.379 0.621 0.253
Cd 0.871 0.129 0.747
Cd 0.871 0.129 0.253
Ag 0.625 0.375 0.500
Hg 0.125 0.875 0.500
CELL_PARAMETERS angstrom
-5.032 1.828 -3.587
-3.385 -5.028 2.189
-2.904 4.791 6.514